DFT (PBE) results for a relaxed structure of NaSrCd11.

a = 7.7222 Å, b = 7.7222 Å, c = 7.8951 Å
α = 98.71°, β = 98.71°, γ = 133.39°
With the nearest neighbours (Å) after each atom.
Atoms (fractional coordinates):
Na  0.0000  0.0000  0.0000  10 Cd 3.00-3.17
Sr  0.0000  0.0000  0.5000  18 Cd 3.60-3.96, 2 Na 3.95
Cd  0.0000  0.5000  0.5000  10 Cd 2.98-3.17
Cd  0.0026  0.3600  0.8501  7 Cd 2.98-3.33, 1 Na 3.17
Cd  0.2873  0.5014  0.2853  8 Cd 2.98-3.33, 1 Na 3.00
Cd  0.3600  0.0026  0.8501  7 Cd 2.98-3.33, 1 Na 3.17
Cd  0.4986  0.7127  0.7147  8 Cd 2.98-3.33, 1 Na 3.00
Cd  0.5000  0.0000  0.5000  10 Cd 2.98-3.17
Cd  0.5000  0.5000  0.0000  8 Cd 2.98-3.14, 2 Na 3.06
Cd  0.5014  0.2873  0.2853  8 Cd 2.98-3.33, 1 Na 3.00
Cd  0.6400  0.9974  0.1499  7 Cd 2.98-3.33, 1 Na 3.17
Cd  0.7127  0.4986  0.7147  8 Cd 2.98-3.33, 1 Na 3.00
Cd  0.9974  0.6400  0.1499  7 Cd 2.98-3.33, 1 Na 3.17

Values from the calculation:
theoretical density	7.078	Mg/m³
calculated formation energy	-109	meV per atom
magnetic moment	0.00	μB per atom

DFT (PBE) results for a relaxed structure of Sc2FeTe.

a = 4.0269 Å, b = 5.6384 Å, c = 5.6384 Å
α = 39.08°, β = 90.00°, γ = 90.00°
With the nearest neighbours (Å) after each atom.
Atoms (fractional coordinates):
Sc  0.0000  0.0000  0.0000  1 Fe 2.59
Sc  0.5000  0.3067  0.3067  4 Fe 2.81, 3 Te 2.97-3.01
Fe  0.0000  0.7559  0.7559  5 Sc 2.59-2.81, 2 Te 2.68
Te  0.5000  0.5902  0.5902  2 Fe 2.68, 6 Sc 2.92-2.97

Values from the calculation:
theoretical density	5.624	Mg/m³
magnetic moment	0.22	μB per atom
final energy	-6.543	eV per atom